Entry from Alexandria: a relaxed ScTe2H2Pd7 crystal (PBE).

```
data_ScTe2H2Pd7
_space_group_name_H-M_alt 'C 1 2/m 1'
_space_group_IT_number 12
_space_group_name_Hall '-C 2y'
_cell_length_a 5.726
_cell_length_b 5.721
_cell_length_c 11.525
_cell_angle_alpha 90.00
_cell_angle_beta 104.36
_cell_angle_gamma 90.00
loop_
_atom_site_label
_atom_site_type_symbol
_atom_site_fract_x
_atom_site_fract_y
_atom_site_fract_z
_atom_site_occupancy
Sc1 Sc 0.000 0.000 0.000 1
Te1 Te 0.193 0.000 0.386 1
H1 H 0.085 0.500 0.173 1
Pd1 Pd 0.000 0.500 0.000 1
Pd2 Pd 0.160 0.250 0.820 1
Pd3 Pd 0.186 0.500 0.369 1
```

Values from the calculation:
Its mass density is 9.509 Mg/m³. The value obtained for the total magnetization is 0.0000 μB per atom. The density of states at the Fermi level is 3.59 states/eV/f.u. Its energy is -5.070 eV/atom.



Entry from Alexandria: a relaxed ScTeHPd2 crystal (PBE).

```
data_ScTeHPd2
_space_group_name_H-M_alt 'P 4/m m m'
_space_group_IT_number 123
_space_group_name_Hall '-P 4 2'
_cell_length_a 4.079
_cell_length_b 4.079
_cell_length_c 4.601
_cell_angle_alpha 90.00
_cell_angle_beta 90.00
_cell_angle_gamma 90.00
loop_
_atom_site_label
_atom_site_type_symbol
_atom_site_fract_x
_atom_site_fract_y
_atom_site_fract_z
_atom_site_occupancy
Sc1 Sc 0.000 0.000 0.000 1
Te1 Te 0.500 0.500 0.000 1
H1 H 0.000 0.000 0.500 1
Pd1 Pd 0.000 0.500 0.500 1
```

Values from the calculation:
Its mass density is 8.381 Mg/m³. The value obtained for the total magnetization is 0.0000 μB per atom. The density of states at the Fermi level is 0.92 states/eV/f.u. Its relative energy among the computed polymorphs is 0 meV/atom.



Entry from Alexandria: a relaxed ScTe2HPd crystal (PBE).

```
data_ScTe2HPd
_space_group_name_H-M_alt 'P 4/m m m'
_space_group_IT_number 123
_space_group_name_Hall '-P 4 2'
_cell_length_a 4.944
_cell_length_b 4.944
_cell_length_c 3.721
_cell_angle_alpha 90.00
_cell_angle_beta 90.00
_cell_angle_gamma 90.00
loop_
_atom_site_label
_atom_site_type_symbol
_atom_site_fract_x
_atom_site_fract_y
_atom_site_fract_z
_atom_site_occupancy
Sc1 Sc 0.000 0.000 0.000 1
Te1 Te 0.000 0.500 0.500 1
H1 H 0.500 0.500 0.500 1
Pd1 Pd 0.500 0.500 0.000 1
```

Values from the calculation:
Its mass density is 7.440 Mg/m³. The value obtained for the total magnetization is 0.0000 μB per atom. The density of states at the Fermi level is 1.70 states/eV/f.u. Its energy is -4.540 eV/atom.